The following is a DFT calculation (GGA-PBE) of TbHgPdPt after structural relaxation.

Lattice parameters (Å, degrees): 4.814 4.814 4.814 60.00 60.00 60.00
Element x y z (fractional)
Pd1 0.250 0.250 0.250
Tb1 0.000 0.000 0.000
Hg1 0.500 0.500 0.500
Pt1 0.750 0.750 0.750

* total DFT energy (no corrections): -4.77 eV/atom
* energy relative to the elements: -727 meV per atom

---

The following is a DFT calculation (GGA-PBE) of CeU2Ni9 after structural relaxation.

Lattice parameters (Å, degrees): 4.872 4.872 8.689 73.72 73.72 60.00
Each line ends with the local moment (μB).
Element x y z (fractional)
Ce1 0.000 0.000 0.000  0.02
U1 0.858 0.858 0.426  1.46
U2 0.142 0.142 0.574  1.46
Ni1 0.667 0.667 0.999  0.03
Ni2 0.333 0.333 0.001  0.03
Ni3 0.500 0.500 0.500  -0.01
Ni4 0.416 0.416 0.251  -0.02
Ni5 0.916 0.416 0.251  -0.02
Ni6 0.416 0.916 0.251  -0.02
Ni7 0.584 0.584 0.749  -0.02
Ni8 0.584 0.084 0.749  -0.02
Ni9 0.084 0.584 0.749  -0.02

* total DFT energy (no corrections): -7.02 eV/atom
* energy relative to the elements: -307 meV per atom

---

Number 2 is which compound? CeU2Ni9

---

What is the total DFT energy (no corrections) in the first record? -4.77 eV/atom